A plane-wave DFT calculation with PBE was carried out for a relaxed YSc2S4 crystal.

Computed properties:
Magnetic moment (μB per cell): 0.00

Lattice parameters (Å, degrees): 6.376 6.376 12.691 90.00 90.00 146.33
Atoms (fractional coordinates):
1 Y 0.123 0.877 0.750
2 Y 0.877 0.123 0.250
3 Sc 0.372 0.628 0.565
4 Sc 0.372 0.628 0.935
5 Sc 0.628 0.372 0.065
6 Sc 0.628 0.372 0.435
7 S 0.000 0.000 0.000
8 S 0.000 0.000 0.500
9 S 0.273 0.727 0.118
10 S 0.273 0.727 0.382
11 S 0.458 0.542 0.750
12 S 0.542 0.458 0.250
13 S 0.727 0.273 0.618
14 S 0.727 0.273 0.882

---

A plane-wave DFT calculation with PBE was carried out for a relaxed YScS2 crystal.

Computed properties:
Magnetic moment (μB per cell): 0.00
E above lowest polymorph (eV/f.u.): 0.00

Lattice parameters (Å, degrees): 3.795 3.795 18.753 90.00 90.00 120.00
Atoms (fractional coordinates):
1 Y 0.000 0.000 0.000
2 Y 0.333 0.667 0.667
3 Y 0.667 0.333 0.333
4 Sc 0.000 0.000 0.500
5 Sc 0.333 0.667 0.167
6 Sc 0.667 0.333 0.833
7 S 0.000 0.000 0.244
8 S 0.000 0.000 0.756
9 S 0.333 0.667 0.422
10 S 0.333 0.667 0.911
11 S 0.667 0.333 0.089
12 S 0.667 0.333 0.578

---

These records have E_tot values of -99.0, -86.3 eV for the cell shown, in the order they appear.
These records have formation energy (no corrections) values of -1977, -1929 meV per atom, in the order they appear.
These records have N(E_F) values of 0.34, 0.29 states/eV/atom, in the order they appear.